Record 1
The following is a DFT calculation (PBE-GGA) of crystalline LiCuHPd at its relaxed geometry.

Cell and atoms, written as extended XYZ:
```
4
Lattice="2.7532 0.0000 0.0000 0.0000 3.8969 0.0000 0.0000 -1.9484 4.1856" Properties=species:S:1:pos:R:3 pbc="T T T"
Li 1.3766 0.0000 2.1114
Cu 0.0000 1.9484 3.4695
H 0.0000 1.9484 1.6973
Pd 1.3766 1.9484 0.5101
```

Values from the calculation:
Calculated volume: 45 Å³ per cell
VASP energy: -3.840 eV/atom
Symmetry: Amm2 (38)
Magnetization: 0.00 μB/f.u.



Record 2
The following is a DFT calculation (PBE-GGA) of crystalline LiCuH2Pd at its relaxed geometry.

Cell and atoms, written as extended XYZ:
```
10
Lattice="2.8093 0.0000 0.0000 -1.4046 4.5884 -1.0466 0.0000 -2.4332 8.2164" Properties=species:S:1:pos:R:3 pbc="T T T"
Li 1.4046 1.4478 0.3289
Li 0.0000 0.7074 6.8409
Cu 0.0000 -0.6920 2.3398
Cu 1.4046 2.8472 4.8300
H 0.0000 1.2225 4.8749
H 1.4046 0.9327 2.2949
H 0.0000 -1.2459 7.3963
H 1.4046 3.4011 -0.2265
Pd 0.0000 2.0048 2.6645
Pd 1.4046 0.1504 4.5053
```

Values from the calculation:
Calculated volume: 99 Å³ per cell
VASP energy: -3.734 eV/atom
Symmetry: C2/m (12)
Magnetization: 0.00 μB/f.u.



Record 3
The following is a DFT calculation (PBE-GGA) of crystalline Li2CuH4Pd2 at its relaxed geometry.

Cell and atoms, written as extended XYZ:
```
9
Lattice="-2.8368 0.3500 0.4155 0.1501 -3.2577 -6.2700 -0.0804 -3.7951 2.6475" Properties=species:S:1:pos:R:3 pbc="T T T"
Li -2.3490 -3.6052 -2.9612
Li -0.4182 -3.0976 -0.2457
Cu 0.0000 0.0000 0.0000
H -2.1626 -4.3773 -1.0388
H -0.6045 -2.3255 -2.1681
H -1.1429 -3.3731 -4.9612
H -1.6243 -3.3297 1.7543
Pd -0.9258 -5.5699 -1.6288
Pd -1.8413 -1.1329 -1.5781
```

Values from the calculation:
Calculated volume: 92 Å³ per cell
VASP energy: -3.715 eV/atom
Symmetry: C2/m (12)
Magnetization: 0.00 μB/f.u.



Record 4
The following is a DFT calculation (PBE-GGA) of crystalline Li2CuH6Pt at its relaxed geometry.

Cell and atoms, written as extended XYZ:
```
10
Lattice="-0.9597 -3.0441 -3.7196 4.6465 -1.5582 0.0643 -2.7155 -0.1801 4.0940" Properties=species:S:1:pos:R:3 pbc="T T T"
Li -0.9157 -2.7621 -0.7303
Li 1.8939 -2.0177 1.1659
Cu -0.8699 -2.4816 2.2662
H 2.7477 -3.5422 -2.6759
H 1.3495 -3.4809 -0.6301
H -1.7718 -1.2416 3.1146
H -2.2816 -2.8566 1.3126
H -0.3737 -1.3028 1.0686
H 3.2573 -1.9274 -0.8743
Pt -3.6730 -3.2248 0.3744
```

Values from the calculation:
Calculated volume: 83 Å³ per cell
VASP energy: -3.659 eV/atom
Symmetry: C2/m (12)
Magnetization: 0.00 μB/f.u.



Record 5
The following is a DFT calculation (PBE-GGA) of crystalline LiCuHPt2 at its relaxed geometry.

Cell and atoms, written as extended XYZ:
```
5
Lattice="3.9577 0.0000 0.0000 0.0000 3.9577 0.0000 0.0000 0.0000 3.7551" Properties=species:S:1:pos:R:3 pbc="T T T"
H 0.0000 0.0000 0.0000
Cu 0.0000 0.0000 1.8776
Pt 0.0000 1.9789 0.0000
Pt 1.9789 0.0000 0.0000
Li 1.9789 1.9789 1.8776
```

Values from the calculation:
Calculated volume: 59 Å³ per cell
Symmetry: P4/mmm (123)
Magnetization: 0.00 μB/f.u.
Excess energy over the best structure of this formula in the dataset: 29.3 kJ/mol of formula units



Record 6
The following is a DFT calculation (PBE-GGA) of crystalline Li2CuHPt at its relaxed geometry.

Cell and atoms, written as extended XYZ:
```
5
Lattice="3.8084 0.0000 0.0000 0.0000 3.8084 0.0000 0.0000 0.0000 3.7934" Properties=species:S:1:pos:R:3 pbc="T T T"
H 0.0000 0.0000 0.0000
Cu 1.9042 1.9042 1.8967
Pt 0.0000 0.0000 1.8967
Li 0.0000 1.9042 0.0000
Li 1.9042 0.0000 0.0000
```

Values from the calculation:
Calculated volume: 55 Å³ per cell
Symmetry: P4/mmm (123)
Magnetization: 0.00 μB/f.u.
Excess energy over the best structure of this formula in the dataset: 0.0 kJ/mol of formula units



Record 7
The following is a DFT calculation (PBE-GGA) of crystalline LiCuHPt2 at its relaxed geometry.

Cell and atoms, written as extended XYZ:
```
5
Lattice="-2.4296 -3.0711 0.1756 2.8725 -2.1850 1.5296 -1.0610 1.0381 3.4756" Properties=species:S:1:pos:R:3 pbc="T T T"
H 0.0000 0.0000 0.0000
Cu -0.3091 -2.1090 2.5904
Pt 1.4362 -1.0925 0.7648
Pt -1.2148 -1.5355 0.0878
Li -0.5305 0.5191 1.7378
```

Values from the calculation:
Calculated volume: 58 Å³ per cell
Symmetry: P4/mmm (123)
Magnetization: 0.00 μB/f.u.
Excess energy over the best structure of this formula in the dataset: 0.0 kJ/mol of formula units



Record 8
The following is a DFT calculation (PBE-GGA) of crystalline LiCu2HPt at its relaxed geometry.

Cell and atoms, written as extended XYZ:
```
5
Lattice="3.8230 0.0000 0.0000 0.0000 3.8230 0.0000 0.0000 0.0000 3.7738" Properties=species:S:1:pos:R:3 pbc="T T T"
H 0.0000 0.0000 0.0000
Cu 0.0000 1.9115 0.0000
Cu 1.9115 0.0000 0.0000
Pt 0.0000 0.0000 1.8869
Li 1.9115 1.9115 1.8869
```

Values from the calculation:
Calculated volume: 55 Å³ per cell
Symmetry: P4/mmm (123)
Magnetization: 0.00 μB/f.u.
Excess energy over the best structure of this formula in the dataset: 0.0 kJ/mol of formula units